Entry from Alexandria via LeMat-Bulk: CaZrMo2 after structural relaxation (PBE-GGA).

Output
**Formation enthalpy at 0 K**: 0.59 eV per atom
**Crystal system**: cubic
**Theoretical density**: 6865 kg/m3
**Relative energy among the computed polymorphs**: 308.5 meV/atom
**SG**: F-43m (216)
**Total DFT energy (no corrections)**: -7.4665 eV per atom

Cell: 4.7995 4.7995 4.7995 Å, 60.00 60.00 60.00°
With the nearest neighbours (Å) after each atom.
Fractional coordinates of all 4 atoms:
Zr (0.2500, 0.2500, 0.2500)  4 Mo 2.94, 4 Ca 2.94
Ca (0.5000, 0.5000, 0.5000)  4 Zr 2.94, 4 Mo 2.94
Mo (0.0000, 0.0000, 0.0000)  4 Mo 2.94, 4 Zr 2.94
Mo (0.7500, 0.7500, 0.7500)  4 Ca 2.94, 4 Mo 2.94

***

Entry from Alexandria via LeMat-Bulk: Ca2ZrMo after structural relaxation (PBE-GGA).

Output
**Formation enthalpy at 0 K**: 0.47 eV per atom
**Crystal system**: orthorhombic
**Theoretical density**: 3570 kg/m3
**Relative energy among the computed polymorphs**: 201.6 meV/atom
**SG**: Immm (71)
**Total DFT energy (no corrections)**: -5.3764 eV per atom

Cell: 9.2353 9.2353 9.2353 Å, 159.53 153.14 34.01°
With the nearest neighbours (Å) after each atom.
Fractional coordinates of all 4 atoms:
Ca (0.0890, 0.0890, 0.0000)  2 Ca 3.28, 2 Mo 3.28, 2 Zr 3.56
Ca (0.4110, 0.4110, 0.0000)  2 Ca 3.28, 2 Mo 3.28, 2 Zr 3.56
Zr (0.7500, 0.2500, 0.5000)  4 Mo 2.70
Mo (0.2500, 0.7500, 0.5000)  4 Zr 2.70

***

Entry from Alexandria via LeMat-Bulk: Ca2ZrMo after structural relaxation (PBE-GGA).

Output
**Formation enthalpy at 0 K**: 0.70 eV per atom
**Crystal system**: monoclinic
**Theoretical density**: 4618 kg/m3
**Relative energy among the computed polymorphs**: 431.9 meV/atom
**SG**: C2/m (12)
**Total DFT energy (no corrections)**: -5.1461 eV per atom

Cell: 6.2718 6.2718 3.0389 Å, 83.12 83.12 123.76°
With the nearest neighbours (Å) after each atom.
Fractional coordinates of all 4 atoms:
Ca (0.0000, 0.0000, 0.0000)  4 Ca 2.96-3.04
Ca (0.5000, 0.5000, 0.0000)  4 Ca 2.96-3.04
Mo (0.5000, 0.0000, 0.5000)  2 Zr 2.96, 2 Mo 3.04
Zr (0.0000, 0.5000, 0.5000)  2 Mo 2.96, 2 Zr 3.04

***

Entry from Alexandria via LeMat-Bulk: CaZr2Mo after structural relaxation (PBE-GGA).

Output
**Formation enthalpy at 0 K**: 0.37 eV per atom
**Crystal system**: monoclinic
**Theoretical density**: 5411 kg/m3
**Relative energy among the computed polymorphs**: 242.3 meV/atom
**SG**: C2/m (12)
**Total DFT energy (no corrections)**: -7.1147 eV per atom

Cell: 4.7111 4.7111 6.8947 Å, 84.92 84.92 39.91°
With the nearest neighbours (Å) after each atom.
Fractional coordinates of all 4 atoms:
Zr (0.5188, 0.5188, 0.4370)  3 Mo 2.81-2.82, 2 Zr 3.08, 1 Ca 3.11
Zr (0.9812, 0.9812, 0.0630)  3 Mo 2.81-2.82, 2 Zr 3.08, 1 Ca 3.11
Ca (0.7500, 0.7500, 0.7500)  6 Zr 3.11-3.46, 2 Ca 3.22
Mo (0.2500, 0.2500, 0.2500)  6 Zr 2.81-2.82

***

Entry from Alexandria via LeMat-Bulk: CaZr2Mo after structural relaxation (PBE-GGA).

Output
**Formation enthalpy at 0 K**: 0.55 eV per atom
**Crystal system**: orthorhombic
**Theoretical density**: 5974 kg/m3
**Relative energy among the computed polymorphs**: 420.5 meV/atom
**SG**: F222 (22)
**Total DFT energy (no corrections)**: -6.9365 eV per atom

Cell: 5.7285 5.7286 5.7318 Å, 136.34 136.34 63.40°
With the nearest neighbours (Å) after each atom.
Fractional coordinates of all 4 atoms:
Ca (0.5000, 0.5000, 0.0000)  8 Zr 3.01-3.24, 4 Mo 3.24
Mo (0.7500, 0.2500, 0.5000)  8 Zr 3.01-3.24, 4 Ca 3.24
Zr (0.0000, 0.0000, 0.0000)  4 Ca 3.01-3.02, 4 Mo 3.24, 4 Zr 3.24
Zr (0.2500, 0.7500, 0.5000)  4 Mo 3.01-3.02, 4 Zr 3.24, 4 Ca 3.24

***

Entry from Alexandria via LeMat-Bulk: CaZrMo2 after structural relaxation (PBE-GGA).

Output
**Formation enthalpy at 0 K**: 0.52 eV per atom
**Crystal system**: orthorhombic
**Theoretical density**: 6763 kg/m3
**Relative energy among the computed polymorphs**: 238.7 meV/atom
**SG**: Cmmm (65)
**Total DFT energy (no corrections)**: -7.5363 eV per atom

Cell: 2.9286 2.9286 9.7921 Å, 90.00 90.00 109.11°
With the nearest neighbours (Å) after each atom.
Fractional coordinates of all 4 atoms:
Mo (0.0000, 0.0000, 0.4826)  2 Zr 2.84, 4 Mo 2.93, 2 Ca 3.12
Mo (0.0000, 0.0000, 0.0174)  2 Zr 2.84, 4 Mo 2.93, 2 Ca 3.12
Zr (0.5000, 0.5000, 0.2500)  4 Mo 2.84, 4 Zr 2.93
Ca (0.5000, 0.5000, 0.7500)  4 Ca 2.93, 4 Mo 3.12

***

Entry from Alexandria via LeMat-Bulk: Ca2ZrMo after structural relaxation (PBE-GGA).

Output
**Formation enthalpy at 0 K**: 0.93 eV per atom
**Crystal system**: cubic
**Theoretical density**: 4261 kg/m3
**Relative energy among the computed polymorphs**: 657.5 meV/atom
**SG**: Fm-3m (225)
**Total DFT energy (no corrections)**: -4.9204 eV per atom

Cell: 5.2815 5.2815 5.2815 Å, 60.00 60.00 60.00°
With the nearest neighbours (Å) after each atom.
Fractional coordinates of all 4 atoms:
Ca (0.7500, 0.7500, 0.7500)  4 Mo 3.23, 4 Zr 3.23
Ca (0.2500, 0.2500, 0.2500)  4 Mo 3.23, 4 Zr 3.23
Zr (0.0000, 0.0000, 0.0000)  8 Ca 3.23
Mo (0.5000, 0.5000, 0.5000)  8 Ca 3.23

***

Entry from Alexandria via LeMat-Bulk: CaZrMo2 after structural relaxation (PBE-GGA).

Output
**Formation enthalpy at 0 K**: 0.41 eV per atom
**Crystal system**: monoclinic
**Theoretical density**: 6130 kg/m3
**Relative energy among the computed polymorphs**: 133.8 meV/atom
**SG**: Pm (6)
**Total DFT energy (no corrections)**: -7.6412 eV per atom

Cell: 4.3000 3.0966 6.7127 Å, 78.37 90.00 90.00°
With the nearest neighbours (Å) after each atom.
Fractional coordinates of all 4 atoms:
Mo (0.5000, 0.2232, 0.2250)  2 Mo 2.54, 2 Zr 2.80
Mo (0.0000, 0.0156, 0.0646)  2 Mo 2.54, 1 Zr 2.67
Zr (0.0000, 0.5032, 0.4349)  3 Mo 2.67-2.80
Ca (0.5000, 0.7580, 0.7755)  2 Ca 3.10, 5 Mo 3.11-3.45, 2 Zr 3.35

***

Entry from Alexandria via LeMat-Bulk: Ca2ZrMo after structural relaxation (PBE-GGA).

Output
**Formation enthalpy at 0 K**: 0.50 eV per atom
**Crystal system**: monoclinic
**Theoretical density**: 4094 kg/m3
**Relative energy among the computed polymorphs**: 231.5 meV/atom
**SG**: Cm (8)
**Total DFT energy (no corrections)**: -5.3465 eV per atom

Cell: 6.3632 4.6627 6.3632 Å, 111.50 137.10 89.91°
With the nearest neighbours (Å) after each atom.
Fractional coordinates of all 4 atoms:
Mo (0.4610, 0.5389, 0.0779)  3 Zr 2.69-2.70
Ca (0.0183, 0.9819, 0.9636)  3 Zr 3.23, 3 Mo 3.29, 3 Ca 3.38
Ca (0.2327, 0.7665, 0.5338)  3 Mo 3.25, 3 Zr 3.31-3.32, 3 Ca 3.38
Zr (0.7880, 0.2126, 0.4247)  3 Mo 2.69-2.70

***

Entry from Alexandria via LeMat-Bulk: CaZrMo2 after structural relaxation (PBE-GGA).

Output
**Formation enthalpy at 0 K**: 0.61 eV per atom
**Crystal system**: monoclinic
**Theoretical density**: 6844 kg/m3
**Relative energy among the computed polymorphs**: 334.5 meV/atom
**SG**: C2/m (12)
**Total DFT energy (no corrections)**: -7.4406 eV per atom

Cell: 5.9410 5.7449 2.7614 Å, 83.32 76.12 117.35°
With the nearest neighbours (Å) after each atom.
Fractional coordinates of all 4 atoms:
Ca (0.5000, 0.5000, 0.0000)  2 Ca 2.76, 2 Zr 2.96, 4 Mo 3.04
Mo (0.5000, 0.0000, 0.5000)  4 Mo 2.76-2.96, 2 Zr 3.04, 2 Ca 3.04
Mo (0.0000, 0.0000, 0.0000)  4 Mo 2.76-2.96, 2 Ca 3.04, 2 Zr 3.04
Zr (0.0000, 0.5000, 0.5000)  2 Zr 2.76, 2 Ca 2.96, 4 Mo 3.04

***

Entry from Alexandria via LeMat-Bulk: CaZr2Mo after structural relaxation (PBE-GGA).

Output
**Formation enthalpy at 0 K**: 0.31 eV per atom
**Crystal system**: monoclinic
**Theoretical density**: 5605 kg/m3
**Relative energy among the computed polymorphs**: 188.8 meV/atom
**SG**: P2/m (10)
**Total DFT energy (no corrections)**: -7.1682 eV per atom

Cell: 4.4525 3.1731 6.8037 Å, 78.98 90.00 90.00°
With the nearest neighbours (Å) after each atom.
Fractional coordinates of all 4 atoms:
Mo (0.5000, 0.7500, 0.7500)  4 Zr 2.74
Zr (0.0000, 0.9587, 0.9472)  2 Mo 2.74, 1 Zr 2.95
Zr (0.0000, 0.5413, 0.5528)  2 Mo 2.74, 1 Zr 2.95
Ca (0.5000, 0.2500, 0.2500)  2 Ca 3.17, 8 Zr 3.28-3.53, 2 Mo 3.47

***

Entry from Alexandria via LeMat-Bulk: CaZr2Mo after structural relaxation (PBE-GGA).

Output
**Formation enthalpy at 0 K**: 0.49 eV per atom
**Crystal system**: monoclinic
**Theoretical density**: 5728 kg/m3
**Relative energy among the computed polymorphs**: 362.5 meV/atom
**SG**: Cm (8)
**Total DFT energy (no corrections)**: -6.9945 eV per atom

Cell: 5.2535 5.2535 6.2037 Å, 88.10 88.10 32.65°
With the nearest neighbours (Å) after each atom.
Fractional coordinates of all 4 atoms:
Zr (0.0034, 0.0034, 0.0122)  3 Mo 2.82-3.14, 5 Zr 2.95-3.12
Zr (0.7442, 0.7442, 0.7908)  5 Zr 2.95-3.12, 2 Mo 2.98, 1 Ca 3.14
Ca (0.5005, 0.5005, 0.4898)  2 Ca 2.95, 1 Mo 3.11, 1 Zr 3.14
Mo (0.2519, 0.2519, 0.2072)  5 Zr 2.82-3.14, 2 Mo 2.95, 1 Ca 3.11